{
  "formula": "ErSc2Ag3Te6",
  "functional": "PBE",
  "state": "optimized geometry",
  "cell": [[3.6990, -6.4092, 0.0000], [3.6990, 6.4092, 0.0000], [-2.4559, 0.0000, 7.0155]],
  "species": ["Er", "Sc", "Sc", "Ag", "Ag", "Ag", "Te", "Te", "Te", "Te", "Te", "Te"],
  "frac_coords": [[0.0000, 0.0000, 0.0000], [0.3321, 0.6679, 0.0000], [0.6679, 0.3321, 0.0000], [0.1610, 0.8390, 0.5000], [0.5000, 0.5000, 0.5000], [0.8390, 0.1610, 0.5000], [0.0812, 0.4250, 0.2440], [0.2632, 0.2632, 0.7558], [0.4250, 0.0812, 0.2440], [0.5750, 0.9188, 0.7560], [0.7368, 0.7368, 0.2442], [0.9188, 0.5750, 0.7560]],
  "e_tot_ev_per_atom": -4.468,
  "e_form_raw_ev_per_atom": -0.75,
  "space_group": "No. 12"
}